Record 1
Entry from the Alexandria database: a relaxed MnZn2Pd3 crystal (PBE).

extended XYZ file:
```
6
Lattice="-2.1015 -1.6264 1.4223 1.4323 0.4368 2.6158 -5.1939 8.0263 1.5037" Properties=species:S:1:pos:R:3 pbc="T T T"
Pd -3.4806 5.3787 1.0077
Pd -1.7133 2.6476 0.4960
Pd 0.0000 0.0000 0.0000
Mn -2.9316 3.4183 2.7709
Zn -1.1919 0.7300 2.2672
Zn -4.6712 6.1067 3.2745
```

Properties
The formation enthalpy at 0 K comes out at -0.4295 eV/atom. The calculation puts the energy above the most stable polymorph in this dataset at 0.11 eV per formula unit. The symmetry is P4/mmm, No. 123. Its spin magnetization is 4.30 Bohr magnetons per cell. The calculation puts the density of states at the Fermi level at 3.5 states/eV per cell.

***

Record 2
Entry from the Alexandria database: a relaxed LaTlAu crystal (PBE).

extended XYZ file:
```
6
Lattice="4.1399 0.0043 -0.0019 -2.0656 4.7380 0.6704 -0.0051 -1.1594 8.4712" Properties=species:S:1:pos:R:3 pbc="T T T"
Tl 2.0691 0.9249 3.8153
Tl 0.0002 2.6580 5.3244
Au 2.0720 1.3475 0.6100
Au -0.0028 2.2354 8.5298
La -0.0099 -0.3640 6.7274
La 2.0791 3.9469 2.4123
```

Properties
The formation enthalpy at 0 K comes out at -0.5622 eV/atom. The symmetry is P-1, No. 2. Its spin magnetization is 0.00 Bohr magnetons per cell. The calculation puts the density of states at the Fermi level at 3.0 states/eV per cell.

***

Record 3
Entry from the Alexandria database: a relaxed Pm2NdH crystal (PBE).

extended XYZ file:
```
4
Lattice="-2.5461 -1.7220 2.0395 -0.2862 -3.6756 -0.1247 4.8549 -2.4769 7.3057" Properties=species:S:1:pos:R:3 pbc="T T T"
Pm 3.9204 -2.3677 6.2312
Pm -0.0021 -1.9093 1.7213
H -1.8857 -3.5987 1.2794
Nd 1.0014 -3.9361 4.5989
```

Properties
The calculation puts the energy above the most stable polymorph in this dataset at 0.00 eV per formula unit. The symmetry is R3m, No. 160. Its spin magnetization is 0.00 Bohr magnetons per cell. The calculation puts the density of states at the Fermi level at 4.5 states/eV per cell.

***

Record 4
Entry from the Alexandria database: a relaxed LiTm2B2Rh5 crystal (PBE).

extended XYZ file:
```
20
Lattice="3.1562 0.0000 0.0000 0.0000 9.4273 0.0000 0.0000 0.0000 9.4273" Properties=species:S:1:pos:R:3 pbc="T T T"
Rh 1.5781 2.6597 5.3749
Rh 1.5781 2.0540 0.6612
Rh 1.5781 7.3734 8.7661
Rh 1.5781 6.7676 4.0525
Rh 1.5781 0.0000 4.7137
Rh 1.5781 4.0525 2.6597
Rh 1.5781 0.6612 7.3734
Rh 1.5781 5.3749 6.7676
Rh 1.5781 8.7661 2.0540
Rh 1.5781 4.7137 0.0000
Tm 0.0000 3.0609 7.7746
Tm 0.0000 7.7746 6.3664
Tm 0.0000 1.6527 3.0609
Tm 0.0000 6.3664 1.6527
B 0.0000 5.8989 8.2421
B 0.0000 8.2421 3.5285
B 0.0000 3.5285 1.1852
B 0.0000 1.1852 5.8989
Li 0.0000 4.7137 4.7137
Li 0.0000 0.0000 0.0000
```

Properties
The formation enthalpy at 0 K comes out at -0.7238 eV/atom. The symmetry is P4/mbm, No. 127. Its spin magnetization is 0.00 Bohr magnetons per cell. The calculation puts the density of states at the Fermi level at 10.1 states/eV per cell.

***

Record 5
Entry from the Alexandria database: a relaxed K4ReMo crystal (PBE).

extended XYZ file:
```
6
Lattice="0.0000 4.9107 4.9107 4.9107 0.0000 4.9107 4.9107 4.9107 0.0000" Properties=species:S:1:pos:R:3 pbc="T T T"
Re 0.0000 0.0000 0.0000
Mo 7.3660 7.3660 7.3660
K 3.6804 3.6804 3.6804
K 3.6804 6.1409 6.1409
K 6.1409 3.6804 6.1409
K 6.1409 6.1409 3.6804
```

Properties
The formation enthalpy at 0 K comes out at 1.9770 eV/atom. The symmetry is F-43m, No. 216. Its spin magnetization is 8.72 Bohr magnetons per cell. The calculation puts the density of states at the Fermi level at 5.2 states/eV per cell.

***

Record 6
Entry from the Alexandria database: a relaxed Pu2HfZr6 crystal (PBE).

extended XYZ file:
```
18
Lattice="4.9663 0.5285 0.8169 0.6933 9.2624 5.4094 0.6111 2.1442 10.5149" Properties=species:S:1:pos:R:3 pbc="T T T"
Pu 5.2840 2.7867 5.2237
Pu 0.9867 9.1485 11.5175
Pu 3.4561 8.2257 12.7774
Pu 2.8146 3.7095 3.9638
Zr 4.0750 6.3860 10.2223
Zr 1.6336 9.6808 7.2612
Zr 1.2718 5.8404 11.9214
Zr 2.2224 7.9212 4.8175
Zr 1.6055 7.3087 8.9625
Zr 2.4745 2.2711 6.9644
Zr 4.6651 4.6265 7.7788
Zr 4.6370 2.2544 9.4800
Zr 4.0482 4.0140 11.9238
Zr 2.1957 5.5492 6.5189
Zr 4.9988 6.0948 4.8199
Zr 3.7961 9.6641 9.7769
Hf 1.8732 4.0560 9.4427
Hf 4.3975 7.8792 7.2986
```

Properties
The formation enthalpy at 0 K comes out at 0.0478 eV/atom. The symmetry is C2/m, No. 12. Its spin magnetization is 22.44 Bohr magnetons per cell. The calculation puts the density of states at the Fermi level at 31.4 states/eV per cell.

***

Record 7
Entry from the Alexandria database: a relaxed FeAsPb4 crystal (PBE).

extended XYZ file:
```
6
Lattice="5.9319 -1.7114 1.3840 1.7674 -6.0466 -0.5895 3.9638 -1.7004 -4.6292" Properties=species:S:1:pos:R:3 pbc="T T T"
Pb 4.3696 -3.5436 -1.4367
Pb 7.3438 -4.4017 -0.7428
Pb 6.3570 -4.3962 -3.7577
Pb 5.2557 -6.5753 -1.7323
Fe 0.0000 0.0000 0.0000
As 8.7473 -7.0938 -2.8760
```

Properties
The formation enthalpy at 0 K comes out at 0.8219 eV/atom. The symmetry is F-43m, No. 216. Its spin magnetization is 2.97 Bohr magnetons per cell. The calculation puts the density of states at the Fermi level at 8.1 states/eV per cell.

***

Record 8
Entry from the Alexandria database: a relaxed La2TbNi crystal (PBE).

extended XYZ file:
```
4
Lattice="-3.4165 -1.0960 -1.0316 -2.4024 -1.2762 2.5569 -5.5122 8.9358 2.0067" Properties=species:S:1:pos:R:3 pbc="T T T"
La -4.3344 5.7291 1.5127
La -6.9967 0.8344 2.0193
Ni -5.6656 3.2818 1.7660
Tb 0.0000 0.0000 0.0000
```

Properties
The formation enthalpy at 0 K comes out at 0.0959 eV/atom. The calculation puts the energy above the most stable polymorph in this dataset at 1.14 eV per formula unit. The symmetry is R-3m, No. 166. Its spin magnetization is 0.00 Bohr magnetons per cell. The calculation puts the density of states at the Fermi level at 5.5 states/eV per cell.

***

Record 9
Entry from the Alexandria database: a relaxed CaScPt3 crystal (PBE).

extended XYZ file:
```
5
Lattice="-3.0248 0.4025 3.8265 0.3200 -4.8242 0.7604 3.8343 0.7201 2.9552" Properties=species:S:1:pos:R:3 pbc="T T T"
Pt 0.1600 -2.4121 0.3802
Pt -1.5124 0.2013 1.9132
Pt 1.9171 0.3601 1.4776
Sc 0.0000 0.0000 0.0000
Ca 0.5647 -1.8508 3.7711
```

Properties
The formation enthalpy at 0 K comes out at -0.2295 eV/atom. The calculation puts the energy above the most stable polymorph in this dataset at 0.00 eV per formula unit. The symmetry is Pm-3m, No. 221. Its spin magnetization is 0.00 Bohr magnetons per cell. The calculation puts the density of states at the Fermi level at 2.7 states/eV per cell.

***

Record 10
Entry from the Alexandria database: a relaxed CdTeH3 crystal (PBE).

extended XYZ file:
```
5
Lattice="4.0345 0.0000 0.0000 0.0000 4.0345 0.0000 0.0000 0.0000 4.0345" Properties=species:S:1:pos:R:3 pbc="T T T"
H 0.0000 2.0172 0.0000
H 0.0000 0.0000 2.0172
H 2.0172 0.0000 0.0000
Cd 0.0000 0.0000 0.0000
Te 2.0172 2.0172 2.0172
```

Properties
The calculation puts the energy above the most stable polymorph in this dataset at 1.17 eV per formula unit. The symmetry is Pm-3m, No. 221. Its spin magnetization is 0.00 Bohr magnetons per cell. The calculation puts the density of states at the Fermi level at 2.4 states/eV per cell.

***

Record 11
Entry from the Alexandria database: a relaxed Ca5SmBi4 crystal (PBE).

extended XYZ file:
```
10
Lattice="5.1691 0.0000 0.0000 0.0000 7.4338 -2.7348 -2.5846 -3.7869 10.6685" Properties=species:S:1:pos:R:3 pbc="T T T"
Sm 2.5846 0.0000 0.0000
Bi 2.5846 -0.4926 3.5621
Bi 0.0000 4.1395 4.3716
Bi 0.0000 2.0469 -0.2930
Bi 2.5846 1.6001 8.2267
Ca 0.0000 1.2326 2.7177
Ca 2.5846 -1.3554 6.8064
Ca 2.5846 2.4144 5.2160
Ca 2.5846 3.7169 -1.3674
Ca 0.0000 5.0024 1.1273
```

Properties
The formation enthalpy at 0 K comes out at -0.7302 eV/atom. The symmetry is C2/m, No. 12. Its spin magnetization is 0.00 Bohr magnetons per cell. The calculation puts the density of states at the Fermi level at 4.2 states/eV per cell.

***

Q: Look up the spin magnetization of the eighth one.
A: 0.00 Bohr magnetons per cell